1.
10
Lattice="4.542 0.000 0.000 0.000 4.542 0.000 0.000 0.000 11.536" Properties=species:S:1:pos:R:3 comment="GGA-PBE Sr2Al4Cd3Au, relaxed" formation_energy_mev_per_atom=-273 space_group="P-4m2, No. 115" pbc="T T T"
Sr 0.000 2.271 2.803
Sr 2.271 0.000 8.733
Al 0.000 0.000 5.768
Al 0.000 2.271 10.108
Al 2.271 0.000 1.428
Al 2.271 2.271 5.768
Cd 0.000 0.000 0.000
Cd 0.000 2.271 7.393
Cd 2.271 0.000 4.143
Au 2.271 2.271 0.000

=====

2.
8
Lattice="2.215 1.279 10.222 -2.215 1.279 10.222 0.000 -2.558 10.222" Properties=species:S:1:pos:R:3 comment="GGA-PBE SrAl2CdAu4, relaxed" formation_energy_mev_per_atom=-436 space_group="R-3m, No. 166" pbc="T T T"
Sr 0.000 0.000 0.000
Al 0.000 0.000 7.475
Al 0.000 0.000 23.190
Cd 0.000 0.000 15.333
Au 0.000 0.000 3.615
Au 0.000 0.000 12.324
Au 0.000 0.000 18.342
Au 0.000 0.000 27.050

=====

3.
6
Lattice="4.518 0.000 0.000 -2.259 3.912 0.000 0.000 0.000 7.566" Properties=species:S:1:pos:R:3 comment="GGA-PBE SrAl2CdAu2, relaxed" formation_energy_mev_per_atom=-480 space_group="P-3m1, No. 164" pbc="T T T"
Sr 0.000 0.000 0.000
Al 0.000 2.608 2.354
Al 2.259 1.304 5.212
Cd 0.000 0.000 3.783
Au 0.000 2.608 5.310
Au 2.259 1.304 2.255

=====

4.
9
Lattice="-3.524 3.524 4.409 3.524 -3.524 4.409 3.524 3.524 -4.409" Properties=species:S:1:pos:R:3 comment="GGA-PBE Sr2AlCd2Au4, relaxed" formation_energy_mev_per_atom=-505 space_group="I4/mmm, No. 139" pbc="T T T"
Sr 3.524 0.000 2.204
Sr 0.000 3.524 2.204
Al 0.000 0.000 0.000
Cd 0.000 0.000 2.809
Cd 0.000 0.000 6.009
Au 1.803 1.803 0.000
Au 1.721 -1.721 4.409
Au -1.721 1.721 4.409
Au 1.721 1.721 4.409

=====

5.
10
Lattice="4.497 0.000 0.000 0.000 4.497 0.000 0.000 0.000 10.949" Properties=species:S:1:pos:R:3 comment="GGA-PBE Sr2Al4CdAu3, relaxed" formation_energy_mev_per_atom=-549 space_group="P-4m2, No. 115" pbc="T T T"
Sr 0.000 2.248 2.699
Sr 2.248 0.000 8.250
Al 0.000 0.000 0.000
Al 0.000 2.248 6.995
Al 2.248 0.000 3.954
Al 2.248 2.248 0.000
Cd 0.000 0.000 5.475
Au 0.000 2.248 9.577
Au 2.248 0.000 1.372
Au 2.248 2.248 5.475

=====

6.
9
Lattice="-2.477 2.977 7.285 2.477 -2.977 7.285 2.477 2.977 -7.285" Properties=species:S:1:pos:R:3 comment="GGA-PBE SrAlCd2Au5, relaxed" formation_energy_mev_per_atom=-306 space_group="Immm, No. 71" pbc="T T T"
Sr 0.000 0.000 0.000
Al 0.000 0.000 7.285
Cd 2.477 0.000 4.475
Cd 0.000 2.977 2.810
Au 2.477 1.409 -2.035
Au 2.477 1.409 2.035
Au 0.000 2.977 0.000
Au 0.000 1.568 5.251
Au 0.000 1.568 9.320

=====

7.
18
Lattice="-3.654 4.882 5.494 3.654 -4.882 5.494 3.654 4.882 -5.494" Properties=species:S:1:pos:R:3 comment="GGA-PBE SrAlCdAu6, relaxed" formation_energy_mev_per_atom=-266 space_group="Imma, No. 74" pbc="T T T"
Sr 0.000 2.441 2.451
Sr 3.654 2.441 3.042
Al 0.000 0.000 0.000
Al 0.000 4.882 0.000
Cd 1.827 2.441 -2.747
Cd 1.827 -2.441 2.747
Au 2.192 0.104 1.392
Au 5.115 0.104 1.392
Au 3.654 -2.441 4.833
Au 3.654 2.441 -0.296
Au 2.192 4.986 -1.392
Au 1.461 0.104 4.102
Au 2.192 4.778 1.392
Au 1.461 -0.104 6.886
Au 0.000 2.441 5.790
Au 0.000 7.323 0.660
Au -1.461 4.778 4.102
Au 1.461 4.778 4.102

=====

8.
8
Lattice="2.208 1.275 9.494 -2.208 1.275 9.494 0.000 -2.550 9.494" Properties=species:S:1:pos:R:3 comment="GGA-PBE TbAl2CdAu4, relaxed" formation_energy_mev_per_atom=-481 space_group="R-3m, No. 166" pbc="T T T"
Tb 0.000 0.000 0.000
Al 0.000 0.000 7.081
Al 0.000 0.000 21.402
Cd 0.000 0.000 14.241
Au 0.000 0.000 3.308
Au 0.000 0.000 11.176
Au 0.000 0.000 17.307
Au 0.000 0.000 25.175

=====

Q: What is the formula in the fourth record?
A: Sr2AlCd2Au4